No. 1
This record from Alexandria describes an optimized crystal structure of Y2CoP. The functional is PBE.

```
Y2CoP
1.0
4.742 0.000 0.000
0.000 4.742 0.000
0.000 0.000 3.541
Co P Y
1 1 2
Direct
0.500 0.000 0.500
0.000 0.500 0.500
0.000 0.000 0.000
0.500 0.500 0.000
```

Computed properties:
The calculation puts the total energy at -6.95 eV per atom. The density comes out at 5.58 g/cm³. As for the crystal system: tetragonal. The volume comes out at 79.6 Å³ per cell. For the spin magnetization, the calculation gives 0.15 μB/atom.



No. 2
This record from Alexandria describes an optimized crystal structure of Y6Co2P. The functional is PBE.

```
Y6Co2P
1.0
2.836 3.770 6.057
-5.832 -4.907 0.919
2.708 -3.095 0.658
Y Co P
6 2 1
Direct
0.595 0.000 0.500
0.000 0.595 0.500
0.405 0.405 0.500
0.263 0.000 0.000
0.000 0.263 0.000
0.737 0.737 0.000
0.333 0.667 0.000
0.667 0.333 0.000
0.000 0.000 0.500
```

Computed properties:
The calculation puts the total energy at -6.79 eV per atom. The density comes out at 5.33 g/cm³. As for the crystal system: hexagonal. The volume comes out at 212.6 Å³ per cell. For the spin magnetization, the calculation gives 0.03 μB/atom.



No. 3
This record from Alexandria describes an optimized crystal structure of YCoP2. The functional is PBE.

```
YCoP2
1.0
4.509 0.000 0.000
0.000 4.509 0.000
2.255 2.255 7.201
Y P Co
2 4 2
Direct
0.000 0.000 0.000
0.750 0.250 0.500
0.465 0.125 0.250
0.285 0.625 0.250
0.375 0.535 0.750
0.875 0.715 0.750
0.500 0.500 0.000
0.250 0.750 0.500
```

Computed properties:
The calculation puts the total energy at -6.76 eV per atom. The density comes out at 4.76 g/cm³. As for the crystal system: tetragonal. The volume comes out at 146.4 Å³ per cell. For the spin magnetization, the calculation gives 0.00 μB/atom.



No. 4
This record from Alexandria describes an optimized crystal structure of Y2Co5P4. The functional is PBE.

```
Y2Co5P4
1.0
-2.519 -2.049 -3.977
-3.826 -3.523 0.925
-5.624 3.791 -1.705
Y Co P
2 5 4
Direct
0.863 0.000 0.275
0.137 0.000 0.725
0.500 0.000 0.000
0.000 0.500 0.000
0.500 0.500 0.000
0.250 0.500 0.500
0.750 0.500 0.500
0.472 0.315 0.741
0.528 0.685 0.259
0.213 0.315 0.259
0.787 0.685 0.741
```

Computed properties:
The calculation puts the total energy at -7.20 eV per atom. The density comes out at 6.42 g/cm³. As for the crystal system: orthorhombic. The volume comes out at 154.2 Å³ per cell. For the spin magnetization, the calculation gives 0.05 μB/atom.



No. 5
This record from Alexandria describes an optimized crystal structure of Y2CoP. The functional is PBE.

```
Y2CoP
1.0
-0.125 -2.696 -2.906
3.926 0.321 -0.467
0.784 -4.101 3.771
Co P Y
1 1 2
Direct
0.000 0.000 0.379
0.500 0.500 0.864
0.000 0.000 0.893
0.500 0.500 0.364
```

Computed properties:
The calculation puts the total energy at -6.94 eV per atom. The density comes out at 5.02 g/cm³. As for the crystal system: tetragonal. The volume comes out at 88.5 Å³ per cell. For the spin magnetization, the calculation gives 0.00 μB/atom.



No. 6
This record from Alexandria describes an optimized crystal structure of YCo2P. The functional is PBE.

```
YCo2P
1.0
4.432 0.000 0.000
2.216 3.838 0.000
2.216 1.279 3.619
Co P Y
2 1 1
Direct
0.000 0.000 0.000
0.750 0.750 0.750
0.500 0.500 0.500
0.250 0.250 0.250
```

Computed properties:
The calculation puts the total energy at -6.53 eV per atom. The density comes out at 6.41 g/cm³. As for the crystal system: cubic. The volume comes out at 61.6 Å³ per cell. For the spin magnetization, the calculation gives 0.69 μB/atom.



No. 7
This record from Alexandria describes an optimized crystal structure of YCoP2. The functional is PBE.

```
YCoP2
1.0
-3.321 3.673 1.761
-4.491 -1.568 2.235
5.122 -1.106 0.407
Co P Y
1 2 1
Direct
0.750 0.250 0.500
0.000 0.000 0.000
0.250 0.750 0.500
0.500 0.500 0.000
```

Computed properties:
The calculation puts the total energy at -6.38 eV per atom. The density comes out at 5.31 g/cm³. As for the crystal system: tetragonal. The volume comes out at 65.5 Å³ per cell. For the spin magnetization, the calculation gives 0.29 μB/atom.



No. 8
This record from Alexandria describes an optimized crystal structure of YCoP. The functional is PBE.

```
YCoP
1.0
-4.080 -1.114 1.608
-2.286 -3.453 -1.825
-0.542 -3.840 2.333
Co P Y
1 1 1
Direct
0.000 0.000 0.000
0.500 0.500 0.500
0.250 0.250 0.250
```

Computed properties:
The calculation puts the total energy at -6.21 eV per atom. The density comes out at 4.53 g/cm³. As for the crystal system: cubic. The volume comes out at 65.5 Å³ per cell. For the spin magnetization, the calculation gives 0.56 μB/atom.



No. 9
This record from Alexandria describes an optimized crystal structure of YCo4P4. The functional is PBE.

```
YCo4P4
1.0
5.673 0.000 0.000
0.000 5.673 0.000
0.000 0.000 7.288
Y Co P
2 8 8
Direct
0.000 0.000 0.000
0.500 0.500 0.500
0.224 0.500 0.880
0.776 0.500 0.880
0.500 0.776 0.120
0.500 0.224 0.120
0.000 0.724 0.380
0.000 0.276 0.380
0.276 0.000 0.620
0.724 0.000 0.620
0.500 0.783 0.820
0.500 0.217 0.820
0.783 0.500 0.180
0.217 0.500 0.180
0.283 0.000 0.320
0.717 0.000 0.320
0.000 0.283 0.680
0.000 0.717 0.680
```

Computed properties:
The calculation puts the total energy at -6.91 eV per atom. The density comes out at 6.35 g/cm³. As for the crystal system: tetragonal. The volume comes out at 234.5 Å³ per cell. For the spin magnetization, the calculation gives 0.00 μB/atom.



No. 10
This record from Alexandria describes an optimized crystal structure of YCoP2. The functional is PBE.

```
YCoP2
1.0
-0.877 4.427 -0.375
-4.285 1.450 -0.208
-1.799 2.255 3.490
Co P Y
1 2 1
Direct
0.500 0.500 0.500
0.000 0.000 0.000
0.250 0.250 0.250
0.750 0.750 0.750
```

Computed properties:
The calculation puts the total energy at -6.12 eV per atom. The density comes out at 5.31 g/cm³. As for the crystal system: cubic. The volume comes out at 65.7 Å³ per cell. For the spin magnetization, the calculation gives 0.30 μB/atom.



No. 11
This record from Alexandria describes an optimized crystal structure of YCo2P. The functional is PBE.

```
YCo2P
1.0
-2.004 -0.776 -3.085
0.474 -3.682 0.619
-3.842 -0.070 2.513
Co P Y
2 1 1
Direct
0.000 0.875 0.188
0.500 0.375 0.188
0.000 0.375 0.410
0.500 0.875 0.714
```

Computed properties:
The calculation puts the total energy at -7.05 eV per atom. The density comes out at 6.08 g/cm³. As for the crystal system: tetragonal. The volume comes out at 65.0 Å³ per cell. For the spin magnetization, the calculation gives 0.00 μB/atom.



No. 12
This record from Alexandria describes an optimized crystal structure of YCo2P. The functional is PBE.

```
YCo2P
1.0
-0.835 2.589 2.315
-3.932 -1.051 -0.243
0.588 -3.047 3.619
Co P Y
2 1 1
Direct
0.000 0.250 0.991
0.000 0.250 0.509
0.500 0.250 0.250
0.500 0.750 0.750
```

Computed properties:
The calculation puts the total energy at -6.98 eV per atom. The density comes out at 5.69 g/cm³. As for the crystal system: orthorhombic. The volume comes out at 69.4 Å³ per cell. For the spin magnetization, the calculation gives 0.27 μB/atom.